Entry 1:
## KZr2Re (PBE)

Data for an optimized crystal structure of KZr2Re.

- E: -6.9064 eV per atom
- Distance to the lowest polymorph of the same formula: 0.5591 eV/atom
- Symmetry: Immm, No. 71

Unit cell a=5.1748 b=5.1748 c=5.1748 alpha=131.21 beta=115.16 gamma=85.18
Last column: nearest neighbours and their distance in Å.
Atoms (fractional coordinates):
1 K 0.0000 0.0000 0.0000  8 Zr 3.04-3.23
2 Zr 0.2834 0.7834 0.5000  2 Re 2.70
3 Zr 0.7166 0.2166 0.5000  2 Re 2.70
4 Re 0.5000 0.5000 0.0000  4 Zr 2.70



Entry 2:
## CdTeAs2Br (PBE)

Data for an optimized crystal structure of CdTeAs2Br.

- E: -2.3533 eV per atom
- Distance to the lowest polymorph of the same formula: 0.0000 eV/atom
- Symmetry: P4/mmm, No. 123

Unit cell a=5.3005 b=5.3005 c=5.1694 alpha=90.00 beta=90.00 gamma=90.00
Last column: nearest neighbours and their distance in Å.
Atoms (fractional coordinates):
1 Cd 0.0000 0.0000 0.0000  2 Br 2.58, 4 As 2.65
2 Te 0.5000 0.5000 0.5000  8 As 3.70, 4 Br 3.75
3 As 0.0000 0.5000 0.0000  2 Cd 2.65
4 As 0.5000 0.0000 0.0000  2 Cd 2.65
5 Br 0.0000 0.0000 0.5000  2 Cd 2.58



Entry 3:
## NaY2IO6 (PBE)

Data for an optimized crystal structure of NaY2IO6.

- E: -6.6880 eV per atom
- Symmetry: R3, No. 146

Unit cell a=6.1101 b=6.1101 c=6.1101 alpha=57.42 beta=57.42 gamma=57.42
Last column: nearest neighbours and their distance in Å.
Atoms (fractional coordinates):
1 Na 0.0000 0.0000 0.0000  6 O 2.43-2.66
2 Y 0.2643 0.2643 0.2643  6 O 2.20-2.46
3 Y 0.7859 0.7859 0.7859  6 O 2.26-2.33
4 I 0.4726 0.4726 0.4726  3 O 1.99
5 O 0.1182 0.6418 0.4094  1 I 1.99
6 O 0.1823 0.5601 0.8766  2 Y 2.20-2.26, 1 I 2.28
7 O 0.4094 0.1182 0.6418  1 I 1.99
8 O 0.5601 0.8766 0.1823  2 Y 2.20-2.26, 1 I 2.28
9 O 0.6418 0.4094 0.1182  1 I 1.99
10 O 0.8766 0.1823 0.5601  2 Y 2.20-2.26, 1 I 2.28



Question: The highest E belongs to which entry?
Answer: CdTeAs2Br



Question: Among the records above, which one has the lowest E?
Answer: KZr2Re



Question: Among the records above, which one has the highest E?
Answer: CdTeAs2Br